Entry from Alexandria: a geometry-optimized Sr2NiH6Pt structure (PBE).

Summary:
Spin magnetization, μB/atom: 0.00
Raw total energy, eV per atom: -4.028
Crystal system: tetragonal
Calculated volume, Å³/atom: 11.1

Cell: 5.189 5.189 8.226 Å, 90.00 90.00 90.00°
Space group I4/mmm (No. 139)
One atom of each set of equivalent atoms:
Sr 0.000 0.500 0.250 x4
Ni 0.000 0.000 0.000 x2
H 0.000 0.000 0.195 x4
H 0.245 0.245 0.500 x8
Pt 0.000 0.000 0.500 x2

Entry from Alexandria: a geometry-optimized TaNi2HPt structure (PBE).

Summary:
Spin magnetization, μB/atom: 0.00
Raw total energy, eV per atom: -6.804
Crystal system: tetragonal
Calculated volume, Å³/atom: 11.5

Cell: 3.829 3.829 3.919 Å, 90.00 90.00 90.00°
Space group P4/mmm (No. 123)
One atom of each set of equivalent atoms:
Ta 0.000 0.000 0.000 x1
Ni 0.000 0.500 0.500 x2
H 0.000 0.000 0.500 x1
Pt 0.500 0.500 0.000 x1

Entry from Alexandria: a geometry-optimized Tb2NiHPt6 structure (PBE).

Summary:
Spin magnetization, μB/atom: 0.00
Raw total energy, eV per atom: -6.190
Crystal system: trigonal
Calculated volume, Å³/atom: 16.7

Cell: 5.5716 5.5716 18.5959 Å, 90.00 90.00 120.00°
Space group R-3m (No. 166, hexagonal axes)
One atom of each set of equivalent atoms:
Tb 0.0000 0.0000 0.2108 x6
Ni 0.0000 0.0000 0.5000 x3
H 0.0000 0.0000 0.0000 x3
Pt 0.0042 0.5021 0.2696 x18

Entry from Alexandria: a geometry-optimized TcNi2HPt structure (PBE).

Summary:
Spin magnetization, μB/atom: 0.00
Raw total energy, eV per atom: -6.214
Crystal system: tetragonal
Calculated volume, Å³/atom: 10.9

Cell: 3.816 3.816 3.738 Å, 90.00 90.00 90.00°
Space group P4/mmm (No. 123)
One atom of each set of equivalent atoms:
Tc 0.000 0.000 0.000 x1
Ni 0.000 0.500 0.500 x2
H 0.000 0.000 0.500 x1
Pt 0.500 0.500 0.000 x1